# 1
VASP calculation (SCAN) on AlIrNO2 at its PBEsol-relaxed geometry.

Cell lengths 3.556, 3.556, 3.785 Å; angles 90.00, 90.00, 90.00 degrees
Space group P4/mmm (No. 123)
Asymmetric unit:
1 Al 0.000 0.000 0.000 (multiplicity 1)
2 Ir 0.500 0.500 0.500 (multiplicity 1)
3 N 0.000 0.000 0.500 (multiplicity 1)
4 O 0.000 0.500 0.000 (multiplicity 2)

Results
Magnetization (μB per cell): 0.00
E (hartree per atom): -0.745
Energy relative to the elements, uncorrected (eV per atom): -0.15
Volume (Å³ per cell): 47.9

# 2
VASP calculation (SCAN) on AlIrPb2N at its PBEsol-relaxed geometry.

Cell lengths 5.582, 5.582, 3.624 Å; angles 90.00, 90.00, 90.00 degrees
Space group P4/mmm (No. 123)
Asymmetric unit:
1 Al 0.000 0.000 0.000 (multiplicity 1)
2 Ir 0.500 0.500 0.500 (multiplicity 1)
3 Pb 0.000 0.500 0.500 (multiplicity 2)
4 N 0.500 0.500 0.000 (multiplicity 1)

Results
Magnetization (μB per cell): 0.00
E (hartree per atom): -1.748
Energy relative to the elements, uncorrected (eV per atom): 0.38
Volume (Å³ per cell): 112.9

# 3
VASP calculation (SCAN) on AlIrSN2 at its PBEsol-relaxed geometry.

Cell lengths 3.659, 3.659, 4.541 Å; angles 90.00, 90.00, 90.00 degrees
Space group P4/mmm (No. 123)
Asymmetric unit:
1 Al 0.000 0.000 0.000 (multiplicity 1)
2 Ir 0.500 0.500 0.500 (multiplicity 1)
3 S 0.000 0.000 0.500 (multiplicity 1)
4 N 0.000 0.500 0.000 (multiplicity 2)

Results
Magnetization (μB per cell): 0.00
E (hartree per atom): -0.746
Energy relative to the elements, uncorrected (eV per atom): 1.12
Volume (Å³ per cell): 60.8

# 4
VASP calculation (SCAN) on AlIrSeN2 at its PBEsol-relaxed geometry.

Cell lengths 3.629, 3.629, 5.343 Å; angles 90.00, 90.00, 90.00 degrees
Space group P4/mmm (No. 123)
Asymmetric unit:
1 Al 0.000 0.000 0.000 (multiplicity 1)
2 Ir 0.500 0.500 0.500 (multiplicity 1)
3 Se 0.000 0.000 0.500 (multiplicity 1)
4 N 0.000 0.500 0.000 (multiplicity 2)

Results
Magnetization (μB per cell): 3.31
E (hartree per atom): -0.824
Energy relative to the elements, uncorrected (eV per atom): 1.08
Volume (Å³ per cell): 70.4

# 5
VASP calculation (SCAN) on NaAlP2Ir at its PBEsol-relaxed geometry.

Cell lengths 4.512, 4.512, 5.246 Å; angles 90.00, 90.00, 90.00 degrees
Space group P4/mmm (No. 123)
Asymmetric unit:
1 Na 0.000 0.000 0.000 (multiplicity 1)
2 Al 0.500 0.500 0.000 (multiplicity 1)
3 P 0.000 0.500 0.500 (multiplicity 2)
4 Ir 0.000 0.000 0.500 (multiplicity 1)

Results
Formation enthalpy at 0 K (eV/f.u.): 2.2
Magnetization (μB per cell): 0.00
E (hartree per atom): -0.747
Volume (Å³ per cell): 106.8

# 6
VASP calculation (SCAN) on Nb2Al3Ir at its PBEsol-relaxed geometry.

Cell lengths 5.1655, 5.1655, 7.9399 Å; angles 90.00, 90.00, 120.00 degrees
Space group P6_3/mmc (No. 194)
Asymmetric unit:
1 Nb 0.3333 0.6667 0.0729 (multiplicity 4)
2 Al 0.1696 0.3392 0.7500 (multiplicity 6)
3 Ir 0.0000 0.0000 0.0000 (multiplicity 2)

Results
Formation enthalpy at 0 K (eV/f.u.): -4.7
Magnetization (μB per cell): 0.00
E (hartree per atom): -1.012
Volume (Å³ per cell): 183.5

# 7
VASP calculation (SCAN) on NbAlIr3 at its PBEsol-relaxed geometry.

Cell lengths 4.370, 4.370, 4.370 Å; angles 90.00, 90.00, 90.00 degrees
Space group Pm-3m (No. 221)
Asymmetric unit:
1 Nb 0.000 0.000 0.000 (multiplicity 1)
2 Al 0.500 0.500 0.500 (multiplicity 1)
3 Ir 0.000 0.500 0.500 (multiplicity 3)

Results
Formation enthalpy at 0 K (eV/f.u.): 3.5
Offset from the most stable computed form (kJ/mol of atoms): 0.0
Magnetization (μB per cell): 1.27
E (hartree per atom): -1.842
Volume (Å³ per cell): 83.5

# 8
VASP calculation (SCAN) on NbAlIr3 at its PBEsol-relaxed geometry.

Cell lengths 4.705, 4.705, 4.705 Å; angles 90.00, 90.00, 90.00 degrees
Space group Pm-3m (No. 221)
Asymmetric unit:
1 Nb 0.000 0.000 0.000 (multiplicity 1)
2 Al 0.500 0.500 0.500 (multiplicity 1)
3 Ir 0.000 0.000 0.500 (multiplicity 3)

Results
Formation enthalpy at 0 K (eV/f.u.): 8.2
Offset from the most stable computed form (kJ/mol of atoms): 91.7
Magnetization (μB per cell): 0.00
E (hartree per atom): -1.808
Volume (Å³ per cell): 104.1

# 9
VASP calculation (SCAN) on Nb6Al11Ir at its PBEsol-relaxed geometry.

Cell lengths 8.9547, 8.9547, 8.2250 Å; angles 90.00, 90.00, 120.00 degrees
Space group P6_3/mcm (No. 193)
Asymmetric unit:
1 Nb 0.0000 0.3399 0.0625 (multiplicity 12)
2 Al 0.0000 0.1660 0.7500 (multiplicity 6)
3 Al 0.1608 0.4909 0.7500 (multiplicity 12)
4 Al 0.3333 0.6667 0.0000 (multiplicity 4)
5 Ir 0.0000 0.0000 0.0000 (multiplicity 2)

Results
Formation enthalpy at 0 K (eV/f.u.): -9.1
Magnetization (μB per cell): 0.52
E (hartree per atom): -0.744
Volume (Å³ per cell): 571.2

# 10
VASP calculation (SCAN) on NbAl2Ir at its PBEsol-relaxed geometry.

Cell lengths 7.029, 7.029, 5.378 Å; angles 90.00, 90.00, 90.00 degrees
Space group I-42d (No. 122)
Asymmetric unit:
1 Nb 0.000 0.000 0.000 (multiplicity 4)
2 Al 0.218 0.750 0.625 (multiplicity 8)
3 Ir 0.000 0.000 0.500 (multiplicity 4)

Results
Formation enthalpy at 0 K (eV/f.u.): -0.9
Magnetization (μB per cell): 0.00
E (hartree per atom): -1.109
Volume (Å³ per cell): 265.7

# 11
VASP calculation (SCAN) on RbNb2AlIr at its PBEsol-relaxed geometry.

Cell lengths 4.726, 4.726, 4.746 Å; angles 90.00, 90.00, 90.00 degrees
Space group P4/mmm (No. 123)
Asymmetric unit:
1 Rb 0.000 0.000 0.000 (multiplicity 1)
2 Nb 0.000 0.500 0.000 (multiplicity 2)
3 Al 0.500 0.500 0.500 (multiplicity 1)
4 Ir 0.000 0.000 0.500 (multiplicity 1)

Results
Formation enthalpy at 0 K (eV/f.u.): 14.3
Magnetization (μB per cell): 0.00
E (hartree per atom): -1.114
Volume (Å³ per cell): 106.0

# 12
VASP calculation (SCAN) on Nb2AlSnIr at its PBEsol-relaxed geometry.

Cell lengths 4.597, 4.597, 4.706 Å; angles 90.00, 90.00, 90.00 degrees
Space group P4/mmm (No. 123)
Asymmetric unit:
1 Nb 0.000 0.500 0.000 (multiplicity 2)
2 Al 0.000 0.000 0.000 (multiplicity 1)
3 Sn 0.000 0.000 0.500 (multiplicity 1)
4 Ir 0.500 0.500 0.500 (multiplicity 1)

Results
Formation enthalpy at 0 K (eV/f.u.): 6.9
Magnetization (μB per cell): 0.00
E (hartree per atom): -1.280
Volume (Å³ per cell): 99.4

# 13
VASP calculation (SCAN) on AlNi2Ir at its PBEsol-relaxed geometry.

Cell lengths 3.718, 3.718, 6.984 Å; angles 90.00, 90.00, 90.00 degrees
Space group I-4m2 (No. 119)
Asymmetric unit:
1 Al 0.000 0.000 0.000 (multiplicity 2)
2 Ni 0.000 0.000 0.500 (multiplicity 2)
3 Ni 0.000 0.500 0.750 (multiplicity 2)
4 Ir 0.000 0.500 0.250 (multiplicity 2)

Results
Formation enthalpy at 0 K (eV/f.u.): -2.0
Magnetization (μB per cell): 3.12
E (hartree per atom): -1.040
Volume (Å³ per cell): 96.5

# 14
VASP calculation (SCAN) on AlNi2Ir at its PBEsol-relaxed geometry.

Cell lengths 2.983, 3.989, 4.037 Å; angles 90.00, 90.00, 90.00 degrees
Space group Pmmm (No. 47)
Asymmetric unit:
1 Al 0.000 0.000 0.000 (multiplicity 1)
2 Ni 0.000 0.500 0.500 (multiplicity 1)
3 Ni 0.500 0.000 0.500 (multiplicity 1)
4 Ir 0.500 0.500 0.000 (multiplicity 1)

Results
Formation enthalpy at 0 K (eV/f.u.): -2.0
Magnetization (μB per cell): 1.01
E (hartree per atom): -1.040
Volume (Å³ per cell): 48.0

# 15
VASP calculation (SCAN) on AlNi2Ir at its PBEsol-relaxed geometry.

Cell lengths 2.849, 4.104, 8.230 Å; angles 90.00, 90.00, 90.00 degrees
Space group Immm (No. 71)
Asymmetric unit:
1 Al 0.000 0.000 0.000 (multiplicity 2)
2 Ni 0.000 0.500 0.259 (multiplicity 4)
3 Ir 0.000 0.000 0.500 (multiplicity 2)

Results
Formation enthalpy at 0 K (eV/f.u.): -1.6
Magnetization (μB per cell): 2.85
E (hartree per atom): -1.036
Volume (Å³ per cell): 96.2

# 16
VASP calculation (SCAN) on AlNi2Ir at its PBEsol-relaxed geometry.

Cell lengths 2.916, 4.356, 7.812 Å; angles 90.00, 90.00, 90.00 degrees
Space group Cmm2 (No. 35)
Asymmetric unit:
1 Al 0.000 0.000 0.000 (multiplicity 2)
2 Ni 0.000 0.000 0.475 (multiplicity 2)
3 Ni 0.000 0.500 0.233 (multiplicity 2)
4 Ir 0.000 0.500 0.740 (multiplicity 2)

Results
Formation enthalpy at 0 K (eV/f.u.): -0.4
Magnetization (μB per cell): 0.01
E (hartree per atom): -1.025
Volume (Å³ per cell): 99.2

# 17
VASP calculation (SCAN) on Al4NiIr at its PBEsol-relaxed geometry.

Cell lengths 6.929, 6.929, 6.929 Å; angles 90.00, 90.00, 90.00 degrees
Space group F-43m (No. 216)
Asymmetric unit:
1 Al 0.125 0.125 0.125 (multiplicity 16)
2 Ni 0.250 0.250 0.750 (multiplicity 4)
3 Ir 0.000 0.000 0.500 (multiplicity 4)

Results
Formation enthalpy at 0 K (eV/f.u.): -0.3
Magnetization (μB per cell): 0.00
E (hartree per atom): -0.726
Volume (Å³ per cell): 332.7

# 18
VASP calculation (SCAN) on AlIrO2 at its PBEsol-relaxed geometry.

Cell lengths 3.1685, 3.1685, 17.0516 Å; angles 90.00, 90.00, 120.00 degrees
Space group R-3m (No. 166, hexagonal axes)
Asymmetric unit:
1 Al 0.0000 0.0000 0.0000 (multiplicity 3)
2 Ir 0.0000 0.0000 0.5000 (multiplicity 3)
3 O 0.0000 0.0000 0.1116 (multiplicity 6)

Results
Magnetization (μB per cell): 0.00
E (hartree per atom): -0.871
Energy relative to the elements, uncorrected (eV per atom): -0.87
Volume (Å³ per cell): 148.3

# 19
VASP calculation (SCAN) on AlIrOs2 at its PBEsol-relaxed geometry.

Cell lengths 2.804, 4.442, 4.527 Å; angles 90.00, 90.00, 90.00 degrees
Space group Pmmm (No. 47)
Asymmetric unit:
1 Al 0.000 0.000 0.000 (multiplicity 1)
2 Ir 0.500 0.500 0.000 (multiplicity 1)
3 Os 0.000 0.500 0.500 (multiplicity 1)
4 Os 0.500 0.000 0.500 (multiplicity 1)

Results
Formation enthalpy at 0 K (eV/f.u.): -0.1
Magnetization (μB per cell): 1.43
E (hartree per atom): -2.046
Volume (Å³ per cell): 56.4

# 20
VASP calculation (SCAN) on AlIr2Os at its PBEsol-relaxed geometry.

Cell lengths 8.908, 2.734, 4.641 Å; angles 90.00, 100.00, 90.00 degrees
Space group C2/m (No. 12)
Asymmetric unit:
1 Al 0.000 0.000 0.000 (multiplicity 2)
2 Ir 0.250 0.000 0.747 (multiplicity 4)
3 Os 0.000 0.500 0.500 (multiplicity 2)

Results
Formation enthalpy at 0 K (eV/f.u.): -1.3
Magnetization (μB per cell): 0.00
E (hartree per atom): -2.050
Volume (Å³ per cell): 111.3

# 21
VASP calculation (SCAN) on AlIr2Os at its PBEsol-relaxed geometry.

Cell lengths 3.842, 3.842, 3.786 Å; angles 90.00, 90.00, 90.00 degrees
Space group P4/mmm (No. 123)
Asymmetric unit:
1 Al 0.000 0.000 0.000 (multiplicity 1)
2 Ir 0.000 0.500 0.500 (multiplicity 2)
3 Os 0.500 0.500 0.000 (multiplicity 1)

Results
Formation enthalpy at 0 K (eV/f.u.): -1.0
Magnetization (μB per cell): 0.00
E (hartree per atom): -2.047
Volume (Å³ per cell): 55.9

# 22
VASP calculation (SCAN) on AlIrOs2 at its PBEsol-relaxed geometry.

Cell lengths 4.063, 2.724, 10.088 Å; angles 90.00, 90.00, 90.00 degrees
Space group Amm2 (No. 38)
Asymmetric unit:
1 Al 0.000 0.000 0.000 (multiplicity 2)
2 Ir 0.500 0.000 0.408 (multiplicity 2)
3 Os 0.000 0.000 0.747 (multiplicity 2)
4 Os 0.500 0.000 0.148 (multiplicity 2)

Results
Formation enthalpy at 0 K (eV/f.u.): -0.8
Magnetization (μB per cell): 0.00
E (hartree per atom): -2.053
Volume (Å³ per cell): 111.7

# 23
VASP calculation (SCAN) on AlIrOs2 at its PBEsol-relaxed geometry.

Cell lengths 2.759, 4.690, 8.814 Å; angles 90.00, 90.00, 90.00 degrees
Space group Cmmm (No. 65)
Asymmetric unit:
1 Al 0.000 0.000 0.000 (multiplicity 2)
2 Ir 0.000 0.000 0.500 (multiplicity 2)
3 Os 0.000 0.500 0.240 (multiplicity 4)

Results
Formation enthalpy at 0 K (eV/f.u.): 1.0
Magnetization (μB per cell): 0.00
E (hartree per atom): -2.036
Volume (Å³ per cell): 114.0

# 24
VASP calculation (SCAN) on AlP2Ir at its PBEsol-relaxed geometry.

Cell lengths 3.5832, 3.5832, 16.6226 Å; angles 90.00, 90.00, 120.00 degrees
Space group R-3m (No. 166, hexagonal axes)
Asymmetric unit:
1 Al 0.0000 0.0000 0.0000 (multiplicity 3)
2 P 0.0000 0.0000 0.2411 (multiplicity 6)
3 Ir 0.0000 0.0000 0.5000 (multiplicity 3)

Results
Formation enthalpy at 0 K (eV/f.u.): -0.8
Magnetization (μB per cell): 0.00
E (hartree per atom): -0.923
Volume (Å³ per cell): 184.8

# 25
VASP calculation (SCAN) on Al2PIr at its PBEsol-relaxed geometry.

Cell lengths 2.847, 2.847, 7.102 Å; angles 90.00, 90.00, 90.00 degrees
Space group P4/mmm (No. 123)
Asymmetric unit:
1 Al 0.000 0.000 0.230 (multiplicity 2)
2 P 0.500 0.500 0.500 (multiplicity 1)
3 Ir 0.500 0.500 0.000 (multiplicity 1)

Results
Formation enthalpy at 0 K (eV/f.u.): -1.7
Magnetization (μB per cell): 0.00
E (hartree per atom): -0.907
Volume (Å³ per cell): 57.6

# 26
VASP calculation (SCAN) on Al2PIr at its PBEsol-relaxed geometry.

Cell lengths 6.113, 6.113, 6.113 Å; angles 90.00, 90.00, 90.00 degrees
Space group F-43m (No. 216)
Asymmetric unit:
1 Al 0.000 0.000 0.000 (multiplicity 4)
2 Al 0.250 0.250 0.250 (multiplicity 4)
3 P 0.000 0.000 0.500 (multiplicity 4)
4 Ir 0.250 0.250 0.750 (multiplicity 4)

Results
Formation enthalpy at 0 K (eV/f.u.): -0.4
Magnetization (μB per cell): 0.00
E (hartree per atom): -0.895
Volume (Å³ per cell): 228.4

# 27
VASP calculation (SCAN) on AlIrPb2 at its PBEsol-relaxed geometry.

Cell lengths 6.130, 8.079, 3.344 Å; angles 90.00, 90.00, 90.00 degrees
Space group Cmmm (No. 65)
Asymmetric unit:
1 Al 0.000 0.000 0.000 (multiplicity 2)
2 Ir 0.000 0.500 0.000 (multiplicity 2)
3 Pb 0.250 0.250 0.500 (multiplicity 4)

Results
Formation enthalpy at 0 K (eV/f.u.): 2.2
Magnetization (μB per cell): 0.00
E (hartree per atom): -2.097
Volume (Å³ per cell): 165.6